The following is a PBEsol calculation of a relaxed structure of Sr2TiMnO6, from Alexandria via LeMat-Bulk.

Computed properties:
Energy (eV/atom): -8.0946
Crystal system: cubic
E_form (uncorrected) (meV/atom): -2768.6

The structure in CIF format:
```
data_Sr2TiMnO6
_chemical_formula_sum 'Sr8 Ti4 Mn4 O24'
_cell_length_a 7.667
_cell_length_b 7.667
_cell_length_c 7.667
_cell_angle_alpha 90.00
_cell_angle_beta 90.00
_cell_angle_gamma 90.00
_space_group_name_H-M_alt 'F m -3 m'
_space_group_IT_number 225
_space_group_name_Hall '-F 4 2 3'
loop_
_atom_site_label
_atom_site_fract_x
_atom_site_fract_y
_atom_site_fract_z
Sr1 0.250 0.250 0.250
Ti1 0.000 0.000 0.000
Mn1 0.000 0.000 0.500
O1 0.000 0.000 0.254
```